DFT (meta-GGA SCAN) results for Ca3Mg4Cu2 at its PBEsol-relaxed geometry.

Crystal system: monoclinic
E_form: -4 kJ/mol of atoms

abc: 15.979 3.761 7.480
angles: 90.00 95.61 90.00
Space group C2/m (No. 12)
One atom of each set of equivalent atoms:
Ca 0.000 0.000 0.000
Ca 0.155 0.000 0.364
Mg 0.055 0.500 0.677
Mg 0.200 0.000 0.850
Cu 0.136 0.500 0.051


DFT (meta-GGA SCAN) results for CaMg2Cu2 at its PBEsol-relaxed geometry.

Crystal system: monoclinic
E_form: -12 kJ/mol of atoms

abc: 10.291 4.000 5.182
angles: 90.00 104.59 90.00
Space group C2/m (No. 12)
One atom of each set of equivalent atoms:
Ca 0.000 0.000 0.000
Mg 0.154 0.500 0.576
Cu 0.226 0.500 0.110


DFT (meta-GGA SCAN) results for CaMg2Cu at its PBEsol-relaxed geometry.

Crystal system: hexagonal
E_form: -6 kJ/mol of atoms

abc: 4.9786 4.9786 8.2225
angles: 90.00 90.00 120.00
Space group P6_3/mmc (No. 194)
One atom of each set of equivalent atoms:
Ca 0.0000 0.0000 0.2500
Mg 0.3333 0.6667 0.0653
Cu 0.3333 0.6667 0.7500


DFT (meta-GGA SCAN) results for Ca3Mg2Cu at its PBEsol-relaxed geometry.

Crystal system: orthorhombic
E_form: -1 kJ/mol of atoms

abc: 9.273 11.243 6.357
angles: 90.00 90.00 90.00
Space group Cmcm (No. 63)
One atom of each set of equivalent atoms:
Ca 0.000 0.083 0.250
Ca 0.181 0.229 0.750
Mg 0.159 0.500 0.000
Cu 0.000 0.346 0.250


DFT (meta-GGA SCAN) results for CaMg2Cu at its PBEsol-relaxed geometry.

Crystal system: trigonal
E_form: 3 kJ/mol of atoms

abc: 4.5263 4.5263 15.7282
angles: 90.00 90.00 120.00
Space group R-3m (No. 166, hexagonal axes)
One atom of each set of equivalent atoms:
Ca 0.0000 0.0000 0.0000
Mg 0.0000 0.0000 0.2098
Cu 0.0000 0.0000 0.5000


DFT (meta-GGA SCAN) results for CaMg2Cu at its PBEsol-relaxed geometry.

Crystal system: tetragonal
E_form: -5 kJ/mol of atoms

abc: 3.392 3.392 7.608
angles: 90.00 90.00 90.00
Space group P4mm (No. 99)
One atom of each set of equivalent atoms:
Ca 0.000 0.000 0.000
Mg 0.000 0.000 0.415
Mg 0.500 0.500 0.673
Cu 0.500 0.500 0.248


DFT (meta-GGA SCAN) results for Ca3Mg7Cu2 at its PBEsol-relaxed geometry.

Crystal system: trigonal
E_form: -8 kJ/mol of atoms

abc: 6.0660 6.0660 27.2073
angles: 90.00 90.00 120.00
Space group R-3m (No. 166, hexagonal axes)
One atom of each set of equivalent atoms:
Ca 0.0000 0.0000 0.0000
Ca 0.0000 0.0000 0.1445
Mg 0.0000 0.0000 0.5000
Mg 0.0015 0.5008 0.9269
Cu 0.0000 0.0000 0.3334


DFT (meta-GGA SCAN) results for CaMg2Cu2 at its PBEsol-relaxed geometry.

Crystal system: tetragonal
E_form: -11 kJ/mol of atoms

abc: 4.145 4.145 11.575
angles: 90.00 90.00 90.00
Space group I4/mmm (No. 139)
One atom of each set of equivalent atoms:
Ca 0.000 0.000 0.000
Mg 0.000 0.500 0.250
Cu 0.000 0.000 0.398


DFT (meta-GGA SCAN) results for Ca2MgCu at its PBEsol-relaxed geometry.

Crystal system: tetragonal
E_form: -2 kJ/mol of atoms

abc: 3.483 3.483 8.488
angles: 90.00 90.00 90.00
Space group P4mm (No. 99)
One atom of each set of equivalent atoms:
Ca 0.000 0.000 0.000
Ca 0.500 0.500 0.361
Mg 0.500 0.500 0.726
Cu 0.000 0.000 0.580


DFT (meta-GGA SCAN) results for CaMg2Cu at its PBEsol-relaxed geometry.

Crystal system: tetragonal
E_form: -9 kJ/mol of atoms

abc: 4.111 4.111 10.716
angles: 90.00 90.00 90.00
Space group P4/nmm (No. 129, origin choice 2)
One atom of each set of equivalent atoms:
Ca 0.250 0.250 0.245
Mg 0.250 0.250 0.924
Mg 0.250 0.750 0.500
Cu 0.250 0.250 0.668


DFT (meta-GGA SCAN) results for CaMg2Cu at its PBEsol-relaxed geometry.

Crystal system: orthorhombic
E_form: -7 kJ/mol of atoms

abc: 4.582 5.962 6.594
angles: 90.00 90.00 90.00
Space group Pmmn (No. 59, origin choice 2)
One atom of each set of equivalent atoms:
Ca 0.250 0.250 0.078
Mg 0.250 0.006 0.630
Cu 0.250 0.750 0.276


DFT (meta-GGA SCAN) results for CaMgCu at its PBEsol-relaxed geometry.

Crystal system: tetragonal
E_form: -12 kJ/mol of atoms

abc: 4.186 4.186 7.633
angles: 90.00 90.00 90.00
Space group P4/nmm (No. 129, origin choice 2)
One atom of each set of equivalent atoms:
Ca 0.250 0.250 0.146
Mg 0.250 0.750 0.500
Cu 0.250 0.250 0.730


What did the second record say?
DFT (meta-GGA SCAN) results for CaMg2Cu2 at its PBEsol-relaxed geometry.

Crystal system: monoclinic
E_form: -12 kJ/mol of atoms

abc: 10.291 4.000 5.182
angles: 90.00 104.59 90.00
Space group C2/m (No. 12)
One atom of each set of equivalent atoms:
Ca 0.000 0.000 0.000
Mg 0.154 0.500 0.576
Cu 0.226 0.500 0.110


Copy entry 8 word for word.
DFT (meta-GGA SCAN) results for CaMg2Cu2 at its PBEsol-relaxed geometry.

Crystal system: tetragonal
E_form: -11 kJ/mol of atoms

abc: 4.145 4.145 11.575
angles: 90.00 90.00 90.00
Space group I4/mmm (No. 139)
One atom of each set of equivalent atoms:
Ca 0.000 0.000 0.000
Mg 0.000 0.500 0.250
Cu 0.000 0.000 0.398